The following is a DFT calculation (PBE-GGA) of a relaxed Mg2AlTe crystal.

Geometry as POSCAR:
```
Mg2AlTe
1.0
5.098 0.000 0.000
2.549 4.415 0.000
2.549 1.472 4.162
Mg Al Te
2 1 1
Direct
0.250 0.250 0.250
0.000 0.000 0.000
0.500 0.500 0.500
0.750 0.750 0.750
```

Results
The calculation puts the energy above the lowest structure with this stoichiometry at 0.988 eV per formula unit. For the energy, the calculation gives -9.64 eV per formula unit. The uncorrected formation energy is 0.1074 eV/atom. The spin magnetization comes out at 0.00 μB/f.u. The calculated volume comes out at 23.42 A^3/atom.